Version i
This record from Alexandria describes an optimized crystal structure of Ho2Ga3Ni5. The functional is GGA-PBE.

```
Ho2Ga3Ni5
1.0
-4.957 5.754 2.766
4.957 -5.754 2.766
4.957 5.754 -2.766
Ho Ga Ni
4 6 10
direct
0.130 0.234 0.364
0.370 0.734 0.103
0.630 0.266 0.897
0.870 0.766 0.636
0.142 0.896 0.038
0.250 0.750 0.500
0.358 0.396 0.755
0.642 0.604 0.245
0.750 0.250 0.500
0.858 0.104 0.962
0.035 0.750 0.285
0.110 0.662 0.772
0.250 0.250 0.000
0.390 0.162 0.552
0.465 0.750 0.715
0.535 0.250 0.285
0.610 0.838 0.448
0.750 0.750 0.000
0.890 0.338 0.228
0.965 0.250 0.715
```

Version ii
This record from Alexandria describes an optimized crystal structure of Ho2Ga3Ni5. The functional is GGA-PBE.

```
Ho2Ga3Ni5
1.0
2.086 -10.518 0.000
2.086 10.518 0.000
0.000 0.000 7.059
Ho Ga Ni
4 6 10
direct
0.016 0.984 0.500
0.346 0.654 0.011
0.654 0.346 0.511
0.984 0.016 0.000
0.120 0.880 0.828
0.242 0.758 0.339
0.443 0.557 0.702
0.557 0.443 0.202
0.758 0.242 0.839
0.880 0.120 0.328
0.119 0.881 0.215
0.217 0.783 0.012
0.236 0.764 0.671
0.348 0.652 0.514
0.445 0.555 0.303
0.555 0.445 0.803
0.652 0.348 0.014
0.764 0.236 0.171
0.783 0.217 0.512
0.881 0.119 0.715
```

What should be chosen as the least stable of them? Choose version i.

Version i
This record from Alexandria describes an optimized crystal structure of HoGa4Ni2. The functional is GGA-PBE.

```
HoGa4Ni2
1.0
16.803 0.000 0.000
0.000 4.148 0.000
0.000 0.000 6.380
Ho Ga Ni
4 16 8
direct
0.140 0.250 0.015
0.360 0.750 0.515
0.640 0.250 0.485
0.860 0.750 0.985
0.034 0.750 0.840
0.072 0.250 0.498
0.185 0.750 0.322
0.195 0.750 0.727
0.305 0.250 0.227
0.315 0.250 0.822
0.428 0.750 0.998
0.466 0.250 0.340
0.534 0.750 0.660
0.572 0.250 0.002
0.685 0.750 0.178
0.695 0.750 0.773
0.805 0.250 0.273
0.815 0.250 0.678
0.928 0.750 0.502
0.966 0.250 0.160
0.038 0.750 0.245
0.216 0.250 0.528
0.284 0.750 0.028
0.462 0.250 0.745
0.538 0.750 0.255
0.716 0.250 0.972
0.784 0.750 0.472
0.962 0.250 0.755
```

Version ii
This record from Alexandria describes an optimized crystal structure of HoGa4Ni2. The functional is GGA-PBE.

```
HoGa4Ni2
1.0
7.609 0.000 0.000
0.000 7.609 0.000
0.000 0.000 3.937
Ho Ga Ni
2 8 4
direct
0.000 0.000 0.000
0.500 0.500 0.500
0.079 0.321 0.500
0.179 0.579 0.000
0.321 0.079 0.500
0.421 0.821 0.000
0.579 0.179 0.000
0.679 0.921 0.500
0.821 0.421 0.000
0.921 0.679 0.500
0.221 0.779 0.500
0.279 0.279 0.000
0.721 0.721 0.000
0.779 0.221 0.500
```

What should be chosen as the least stable of them? Choose version ii.

Version i
This record from Alexandria describes an optimized crystal structure of HoGa3Ni. The functional is GGA-PBE.

```
HoGa3Ni
1.0
8.110 0.000 0.000
0.000 4.059 0.000
0.000 0.000 10.550
Ho Ga Ni
4 12 4
direct
0.192 0.250 0.014
0.308 0.750 0.514
0.692 0.250 0.486
0.808 0.750 0.986
0.061 0.250 0.585
0.114 0.750 0.802
0.140 0.750 0.218
0.360 0.250 0.718
0.386 0.250 0.302
0.439 0.750 0.085
0.561 0.250 0.915
0.614 0.750 0.698
0.640 0.750 0.282
0.860 0.250 0.782
0.886 0.250 0.198
0.939 0.750 0.415
0.098 0.250 0.354
0.402 0.750 0.854
0.598 0.250 0.146
0.902 0.750 0.646
```

Version ii
This record from Alexandria describes an optimized crystal structure of HoGa3Ni. The functional is GGA-PBE.

```
HoGa3Ni
1.0
4.069 0.000 0.000
0.000 4.069 0.000
0.000 0.000 5.332
Ho Ga Ni
1 3 1
direct
0.000 0.000 0.000
0.000 0.500 0.471
0.500 0.000 0.471
0.500 0.500 0.794
0.500 0.500 0.229
```

What should be chosen as the least stable of them? Choose version ii.